KCrIO2: relaxed, PBE with a Hubbard U.

Unit cell a=4.6393 b=4.6393 c=6.9822 alpha=90.00 beta=90.00 gamma=90.00
Last column: nearest neighbours and their distance in Å.
Space group P4/mmm (No. 123)
Inequivalent atoms, fractional coordinates:
K 0.0000 0.0000 0.0000 x1  4 O 2.32
Cr 0.5000 0.5000 0.5000 x1  4 I 3.28
I 0.0000 0.0000 0.5000 x1  4 Cr 3.28, 2 K 3.49
O 0.0000 0.5000 0.0000 x2  2 K 2.32

Values from the calculation:
energy above the most stable polymorph in this dataset = 5.90 eV/f.u.
DOS(E_F) = 0.61 states/eV per atom